Computed, not measured: crystalline LiZn2Cl at its relaxed geometry at the PBE-GGA level of DFT.

Output
E_tot   -1.555 eV per atom
Energy relative to the lowest polymorph listed for this composition   594 meV per atom
Formation energy without anion corrections   0.02 eV/atom
Spin magnetization   0.00 Bohr magnetons per cell
Theoretical density   3.0 g cm⁻³

Cell lengths 7.2594, 7.2594, 7.2594 Å; angles 90.00, 90.00, 90.00 degrees
Space group Fm-3m (No. 225)
Asymmetric unit:
Li (0.0000, 0.0000, 0.0000) (multiplicity 4)
Zn (0.2500, 0.2500, 0.2500) (multiplicity 8)
Cl (0.0000, 0.0000, 0.5000) (multiplicity 4)